Computed, not measured: PmNb2N4 after structural relaxation at the PBE level of DFT.

Structure (POSCAR):
```
PmNb2N4
1.0
1.586 -5.157 0.000
1.586 5.157 0.000
0.000 0.000 10.460
Pm Nb N
2 4 8
Direct
0.116 0.884 0.750
0.884 0.116 0.250
0.371 0.629 0.566
0.371 0.629 0.934
0.629 0.371 0.066
0.629 0.371 0.434
0.000 0.000 0.000
0.000 0.000 0.500
0.267 0.733 0.111
0.267 0.733 0.389
0.435 0.565 0.750
0.565 0.435 0.250
0.733 0.267 0.611
0.733 0.267 0.889
```

Properties
Mass density = 7.51 Mg/m³
Spin magnetization = 0.000 μB/atom
E_tot = -9.430 eV/atom